Record 1
{"formula": "BaErGaSe3", "functional": "PBE-GGA", "state": "relaxed", "cell": [[2.087, -7.249, 0.000], [2.087, 7.249, 0.000], [0.000, 0.000, 11.725]], "species": ["Ba", "Ba", "Er", "Er", "Ga", "Ga", "Se", "Se", "Se", "Se", "Se", "Se"], "fractional_positions": [[0.207, 0.793, 0.750], [0.793, 0.207, 0.250], [0.500, 0.500, 0.000], [0.500, 0.500, 0.500], [0.104, 0.896, 0.250], [0.896, 0.104, 0.750], [0.132, 0.868, 0.009], [0.132, 0.868, 0.491], [0.485, 0.515, 0.250], [0.515, 0.485, 0.750], [0.868, 0.132, 0.509], [0.868, 0.132, 0.991]]}

Record 2
{"formula": "BaErGaTe3", "functional": "PBE-GGA", "state": "relaxed", "cell": [[2.262, -7.438, 0.000], [2.262, 7.438, 0.000], [0.000, 0.000, 12.045]], "species": ["Ba", "Ba", "Er", "Er", "Ga", "Ga", "Te", "Te", "Te", "Te", "Te", "Te"], "fractional_positions": [[0.242, 0.758, 0.750], [0.758, 0.242, 0.250], [0.000, 0.000, 0.000], [0.000, 0.000, 0.500], [0.451, 0.549, 0.250], [0.549, 0.451, 0.750], [0.073, 0.927, 0.250], [0.358, 0.642, 0.028], [0.358, 0.642, 0.472], [0.642, 0.358, 0.528], [0.642, 0.358, 0.972], [0.927, 0.073, 0.750]]}

| no. | total magnetization (μB/f.u.) | V (Å³/atom) | final energy (eV per cell) |
| --- | --- | --- | --- |
| 1 | 0.0 | 29.56 | -56.355 |
| 2 | 0.0 | 33.78 | -50.557 |